First-principles (GGA+U) data for a geometry-optimized Li4Ni3SbO8 structure, as listed in Alexandria via LeMat-Bulk.

Properties
DFT total energy ... -250.58 eV for the cell shown
V ... 9.46 Å³/atom
M_tot ... 15.0 Bohr magnetons per cell

abc: 5.9864 5.9864 14.6327
angles: 90.00 90.00 120.00
Closest atoms and distances in Å follow each position.
Space group R-3m (No. 166, hexagonal axes)
Unique sites:
Li 0.0000 0.0000 0.0000 x3  6 O 2.21
Li 0.0000 0.5000 0.0000 x9  6 O 2.13-2.22
Ni 0.0000 0.5000 0.5000 x9  6 O 2.02-2.10
Sb 0.0000 0.0000 0.5000 x3  6 O 2.02
O 0.0000 0.0000 0.2385 x6  3 Ni 2.02, 3 Li 2.22
O 0.0130 0.5065 0.2450 x18  1 Sb 2.02, 2 Ni 2.10, 3 Li 2.13-2.21